TlGa2Si2 after structural relaxation, computed with PBE.

Geometry as POSCAR:
```
TlGa2Si2
1.0
8.020 0.000 0.000
0.000 8.020 0.000
0.000 0.000 3.077
Tl Ga Si
2 4 4
direct
0.500 0.500 0.000
0.000 0.000 0.000
0.358 0.858 0.000
0.142 0.358 0.000
0.642 0.142 0.000
0.858 0.642 0.000
0.145 0.645 0.500
0.355 0.145 0.500
0.645 0.855 0.500
0.855 0.355 0.500
```

Results
Energy relative to the lowest polymorph listed for this composition = 96.4 kJ/mol of formula units
Energy relative to the elements, uncorrected = 333 meV per atom
Raw total energy = -35.2 eV for the cell shown
Size of the total moment = 0.00 μB per formula unit
V = 98.97 Å³/f.u.